(1)
# SrMnCd2 (GGA-PBE, relaxed)
data_SrMnCd2
_chemical_formula_sum 'Sr3 Mn3 Cd6'
_cell_length_a 3.7404
_cell_length_b 3.7404
_cell_length_c 27.7880
_cell_angle_alpha 90.00
_cell_angle_beta 90.00
_cell_angle_gamma 120.00
_symmetry_space_group_name_H-M 'R 3 m'
_symmetry_Int_Tables_number 160
_symmetry_space_group_name_Hall 'R 3 -2"'
loop_
_atom_site_label
_atom_site_fract_x
_atom_site_fract_y
_atom_site_fract_z
Sr1 0.0000 0.0000 0.0000
Mn1 0.0000 0.0000 0.7601
Cd1 0.0000 0.0000 0.2363
Cd2 0.0000 0.0000 0.4932
# - Volume: 28.056 Å³/atom
# - Total magnetization: 3.9 μB per formula unit
# - Calculated formation energy: 0.38 eV per atom
# - Electronic total energy: -2.792 eV/atom


(2)
# SrMnCd2 (GGA-PBE, relaxed)
data_SrMnCd2
_chemical_formula_sum 'Sr2 Mn2 Cd4'
_cell_length_a 5.195
_cell_length_b 5.195
_cell_length_c 7.371
_cell_angle_alpha 90.00
_cell_angle_beta 90.00
_cell_angle_gamma 90.00
_symmetry_space_group_name_H-M 'I -4 m 2'
_symmetry_Int_Tables_number 119
_symmetry_space_group_name_Hall 'I -4 -2'
loop_
_atom_site_label
_atom_site_fract_x
_atom_site_fract_y
_atom_site_fract_z
Sr1 0.000 0.000 0.000
Mn1 0.000 0.500 0.250
Cd1 0.000 0.000 0.500
Cd2 0.000 0.500 0.750
# - Volume: 24.868 Å³/atom
# - Total magnetization: 4.6 μB per formula unit
# - Calculated formation energy: 0.17 eV per atom
# - Electronic total energy: -2.998 eV/atom